(1)
MgCu2Se2: relaxed, PBEsol.

Cell lengths 8.1511, 8.1511, 6.3173 Å; angles 90.00, 90.00, 151.69 degrees
Last column: nearest neighbours and their distance in Å.
Atoms (fractional coordinates):
Mg1 0.0896 0.9104 0.5000  4 Se 2.55-2.63, 1 Cu 2.78
Mg2 0.9104 0.0896 0.0000  4 Se 2.55-2.63, 1 Cu 2.78
Cu1 0.1973 0.8027 0.8487  4 Se 2.42-2.60, 2 Cu 2.48
Cu2 0.3879 0.6121 0.4434  3 Se 2.33-2.46, 2 Cu 2.48
Cu3 0.6121 0.3879 0.9434  3 Se 2.33-2.46, 2 Cu 2.48
Cu4 0.8027 0.1973 0.3487  4 Se 2.42-2.60, 2 Cu 2.48
Se1 0.0674 0.9326 0.0998  3 Cu 2.33-2.60, 2 Mg 2.55-2.56
Se2 0.3103 0.6897 0.1068  4 Cu 2.42-2.51, 2 Mg 2.63
Se3 0.6897 0.3103 0.6068  4 Cu 2.42-2.51, 2 Mg 2.63
Se4 0.9326 0.0674 0.5998  3 Cu 2.33-2.60, 2 Mg 2.55-2.56

Computed properties:
Excess energy over the best structure of this formula in the dataset: 0.066 eV/atom
Energy relative to the elements, uncorrected: -432.3 meV/atom

=====

(2)
TaMn2Cl: relaxed, PBEsol.

Cell lengths 4.3273, 4.3273, 2.9714 Å; angles 90.00, 90.00, 90.00 degrees
Last column: nearest neighbours and their distance in Å.
Atoms (fractional coordinates):
Ta1 0.0000 0.0000 0.0000  8 Mn 2.62
Mn1 0.0000 0.5000 0.5000  4 Cl 2.62, 4 Ta 2.62
Mn2 0.5000 0.0000 0.5000  4 Cl 2.62, 4 Ta 2.62
Cl1 0.5000 0.5000 0.0000  8 Mn 2.62

Computed properties:
Excess energy over the best structure of this formula in the dataset: 0.570 eV/atom
Energy relative to the elements, uncorrected: 660.9 meV/atom

=====

(3)
CdNi: relaxed, PBEsol.

Cell lengths 5.2664, 5.2664, 5.2664 Å; angles 148.20, 130.09, 60.40 degrees
Last column: nearest neighbours and their distance in Å.
Atoms (fractional coordinates):
Cd1 0.3598 0.1098 0.2500  6 Ni 2.67-2.72, 4 Cd 2.89-2.93
Cd2 0.6402 0.8902 0.7500  6 Ni 2.67-2.72, 4 Cd 2.89-2.93
Ni1 0.1063 0.3563 0.7500  2 Ni 2.41, 4 Cd 2.67
Ni2 0.8937 0.6437 0.2500  2 Ni 2.41, 4 Cd 2.67

Computed properties:
Energy relative to the elements: 0.0814 eV per atom

=====

(4)
POsRh: relaxed, PBEsol.

Cell lengths 5.2026, 5.2026, 5.2026 Å; angles 148.19, 148.19, 45.60 degrees
Last column: nearest neighbours and their distance in Å.
Atoms (fractional coordinates):
P1 0.0000 0.0000 0.0000  4 Os 2.40, 4 Rh 2.50
Os1 0.3648 0.3648 0.0000  4 P 2.40
Rh1 0.6539 0.6539 0.0000  4 P 2.50, 1 Os 2.77

Computed properties:
Energy relative to the elements: -0.1147 eV per atom

=====

(5)
ZrBiH2: relaxed, PBEsol.

Cell lengths 6.7977, 6.7977, 6.7977 Å; angles 142.13, 142.13, 54.64 degrees
Last column: nearest neighbours and their distance in Å.
Atoms (fractional coordinates):
Zr1 0.3750 0.6250 0.7500  4 H 1.87
Zr2 0.6250 0.3750 0.2500  4 H 1.87
Bi1 0.1250 0.8750 0.2500  8 H 2.89, 4 Zr 3.12
Bi2 0.8750 0.1250 0.7500  8 H 2.89, 4 Zr 3.12
H1 0.0000 0.5000 0.5000  2 Zr 1.87
H2 0.5000 0.0000 0.0000  2 Zr 1.87
H3 0.5000 0.5000 0.0000  2 Zr 1.87
H4 0.5000 0.5000 0.5000  2 Zr 1.87

=====

(6)
Sc3CuIr: relaxed, PBEsol.

Cell lengths 4.6877, 4.6877, 4.6877 Å; angles 90.00, 90.00, 90.00 degrees
Last column: nearest neighbours and their distance in Å.
Atoms (fractional coordinates):
Sc1 0.0000 0.0000 0.5000  2 Cu 2.34
Sc2 0.0000 0.5000 0.0000  2 Cu 2.34
Sc3 0.5000 0.0000 0.0000  2 Cu 2.34
Cu1 0.0000 0.0000 0.0000  6 Sc 2.34
Ir1 0.5000 0.5000 0.5000  12 Sc 3.31

Computed properties:
Energy relative to the elements: 0.3599 eV per atom

=====

(7)
YSnRuC2: relaxed, PBEsol.

Cell lengths 4.1370, 4.1370, 5.8380 Å; angles 90.00, 90.00, 90.00 degrees
Last column: nearest neighbours and their distance in Å.
Atoms (fractional coordinates):
Y1 0.0000 0.0000 0.0000  2 Sn 2.92, 4 Ru 2.93
Sn1 0.0000 0.0000 0.5000  4 C 2.07
Ru1 0.5000 0.5000 0.0000  4 Y 2.93
C1 0.0000 0.5000 0.5000  2 Sn 2.07
C2 0.5000 0.0000 0.5000  2 Sn 2.07

Computed properties:
Energy relative to the elements: 2.5486 eV per atom

=====

(8)
ZnFeAg: relaxed, PBEsol.

Cell lengths 6.0176, 6.0154, 2.6853 Å; angles 77.15, 77.06, 25.79 degrees
Last column: nearest neighbours and their distance in Å.
Atoms (fractional coordinates):
Zn1 0.0000 0.0000 0.0000  4 Fe 2.55-2.56, 4 Zn 2.69, 4 Ag 2.78
Fe1 0.6496 0.6496 0.3504  4 Zn 2.55-2.56, 4 Fe 2.69, 4 Ag 2.74
Ag1 0.3224 0.3224 0.6776  4 Ag 2.69, 4 Fe 2.74, 4 Zn 2.78

Computed properties:
Excess energy over the best structure of this formula in the dataset: 0.000 eV/atom
Energy relative to the elements: 0.1464 eV per atom

=====

(9)
AgPPb2: relaxed, PBEsol.

Cell lengths 5.0536, 5.0536, 5.0536 Å; angles 60.00, 60.00, 60.00 degrees
Last column: nearest neighbours and their distance in Å.
Atoms (fractional coordinates):
Ag1 0.0000 0.0000 0.0000  4 Pb 3.09, 4 P 3.09
P1 0.2500 0.2500 0.2500  4 Pb 3.09, 4 Ag 3.09
Pb1 0.5000 0.5000 0.5000  4 Pb 3.09, 4 P 3.09
Pb2 0.7500 0.7500 0.7500  4 Pb 3.09, 4 Ag 3.09

Computed properties:
Energy relative to the elements: 0.4213 eV per atom

=====

(10)
NaH3Se2O6: relaxed, PBEsol.

Cell lengths 5.7227, 4.7340, 11.5774 Å; angles 90.00, 118.05, 90.00 degrees
Last column: nearest neighbours and their distance in Å.
Atoms (fractional coordinates):
Na1 0.0000 0.2489 0.0000  6 O 2.38-2.45
Na2 0.0000 0.7511 0.5000  6 O 2.38-2.45
H1 0.2564 0.2689 0.6710  1 O 1.10
H2 0.2564 0.7311 0.1710  1 O 1.10
H3 0.5137 0.2804 0.0061  1 O 1.09
H4 0.5137 0.7196 0.5061  1 O 1.09
H5 0.7247 0.2194 0.3265  1 O 1.06
H6 0.7247 0.7806 0.8265  1 O 1.06
Se1 0.3243 0.1406 0.3320  3 O 1.71-1.80
Se2 0.3243 0.8594 0.8320  3 O 1.71-1.80
Se3 0.6629 0.3456 0.6704  3 O 1.69-1.77
Se4 0.6629 0.6544 0.1704  3 O 1.69-1.77
O1 0.1292 0.0488 0.6937  1 H 1.37
O2 0.1292 0.9512 0.1937  1 H 1.37
O3 0.3359 0.0596 0.9571  1 H 1.38
O4 0.3359 0.9404 0.4571  1 H 1.38
O5 0.3456 0.4502 0.6468  1 H 1.10
O6 0.3456 0.5498 0.1468  1 H 1.10
O7 0.6428 0.0388 0.3488  1 H 1.06
O8 0.6428 0.9612 0.8488  1 H 1.06
O9 0.6577 0.4530 0.0411  1 H 1.09
O10 0.6577 0.5470 0.5411  1 H 1.09
O11 0.8555 0.4582 0.3040  1 H 1.45
O12 0.8555 0.5418 0.8040  1 H 1.45

Computed properties:
Excess energy over the best structure of this formula in the dataset: 0.000 eV/atom

=====

(11)
ZnAsS2N: relaxed, PBEsol.

Cell lengths 4.7324, 4.7324, 3.6624 Å; angles 90.00, 90.00, 90.00 degrees
Last column: nearest neighbours and their distance in Å.
Atoms (fractional coordinates):
Zn1 0.0000 0.0000 0.0000  2 N 1.83
As1 0.5000 0.5000 0.5000  8 S 2.99, 4 N 3.35
S1 0.0000 0.5000 0.0000  2 Zn 2.37
S2 0.5000 0.0000 0.0000  2 Zn 2.37
N1 0.0000 0.0000 0.5000  2 Zn 1.83

Computed properties:
Energy relative to the elements, uncorrected: 929.3 meV/atom

=====

(12)
Ca2InCo: relaxed, PBEsol.

Cell lengths 6.0709, 6.0709, 6.0709 Å; angles 146.53, 129.76, 61.72 degrees
Last column: nearest neighbours and their distance in Å.
Atoms (fractional coordinates):
Ca1 0.0000 0.0000 0.0000  2 Co 2.96, 4 In 3.26, 2 Ca 3.29
Ca2 0.6963 0.1963 0.5000  4 Co 3.13, 4 Ca 3.29-3.50, 4 In 3.39-3.48
In1 0.4074 0.4074 0.0000  2 Co 2.55
Co1 0.2293 0.7293 0.5000  2 In 2.55

Computed properties:
Energy relative to the elements: 0.0334 eV per atom

=====

(13)
LaP2Ru: relaxed, PBEsol.

Cell lengths 4.5591, 4.5591, 5.1793 Å; angles 103.05, 103.05, 45.16 degrees
Last column: nearest neighbours and their distance in Å.
Atoms (fractional coordinates):
La1 0.0000 0.0000 0.0000  7 P 2.93-3.16, 4 Ru 3.12-3.25
P1 0.2313 0.2313 0.6593  2 Ru 2.29
P2 0.5002 0.5002 0.5081  3 Ru 2.52-2.53, 3 P 2.57-2.59
Ru1 0.7789 0.7789 0.4043  5 P 2.29-2.53

Computed properties:
Excess energy over the best structure of this formula in the dataset: 0.000 eV/atom
Energy relative to the elements: -0.6129 eV per atom

=====

(14)
KYZn2Ag: relaxed, PBEsol.

Cell lengths 5.5640, 5.5640, 5.5198 Å; angles 90.00, 90.00, 90.00 degrees
Last column: nearest neighbours and their distance in Å.
Atoms (fractional coordinates):
K1 0.0000 0.0000 0.0000  8 Zn 3.92, 4 Ag 3.93
Y1 0.5000 0.5000 0.5000  2 Ag 2.76, 4 Zn 2.78
Zn1 0.0000 0.5000 0.5000  2 Y 2.78
Zn2 0.5000 0.0000 0.5000  2 Y 2.78
Ag1 0.5000 0.5000 0.0000  2 Y 2.76

Computed properties:
Energy relative to the elements: 0.5647 eV per atom

=====

Number 1: total magnetic moment 0.0 μB per formula unit, total energy -4.049 eV/atom. Number 2: total magnetic moment 3.1 μB per formula unit, total energy -7.859 eV/atom. Number 3: total magnetic moment 0.0 μB per formula unit, total energy -3.596 eV/atom. Number 4: total magnetic moment 0.0 μB per formula unit, total energy -8.830 eV/atom. Number 5: total magnetic moment 0.0 μB per formula unit, total energy -5.132 eV/atom. Number 6: total magnetic moment 0.0 μB per formula unit, total energy -6.435 eV/atom. Number 7: total magnetic moment 1.1 μB per formula unit, total energy -5.560 eV/atom. Number 8: total magnetic moment 2.4 μB per formula unit, total energy -4.473 eV/atom. Number 9: total magnetic moment 0.0 μB per formula unit, total energy -3.854 eV/atom. Number 10: total magnetic moment 0.0 μB per formula unit, total energy -5.273 eV/atom. Number 11: total magnetic moment 1.8 μB per formula unit, total energy -3.867 eV/atom. Number 12: total magnetic moment 0.7 μB per formula unit, total energy -3.713 eV/atom. Number 13: total magnetic moment 0.0 μB per formula unit, total energy -7.388 eV/atom. Number 14: total magnetic moment 0.0 μB per formula unit, total energy -2.321 eV/atom.